DFT (PBE with a Hubbard U) results for a geometry-optimized TmCo2SnO6 structure.

a = 5.2457 Å, b = 5.3010 Å, c = 5.6465 Å
α = 62.40°, β = 63.90°, γ = 61.52°
With the nearest neighbours (Å) after each atom.
Space group P1 (No. 1)
Symmetry-distinct sites (fractional):
Tm  0.0000  0.0000  0.0000 [1 per cell]  6 O 2.18-2.34
Co  0.2106  0.2009  0.3802 [1 per cell]  5 O 1.92-2.10
Co  0.7159  0.7214  0.8420 [1 per cell]  4 O 2.00-2.15
Sn  0.5104  0.5145  0.4667 [1 per cell]  6 O 2.04-2.17
O  0.1129  0.8229  0.6421 [1 per cell]  2 Co 2.01-2.08, 1 Sn 2.11
O  0.3176  0.5605  0.1816 [1 per cell]  1 Co 1.92, 1 Sn 2.12
O  0.4120  0.1149  0.6460 [1 per cell]  2 Co 1.97-2.09, 1 Sn 2.09
O  0.5771  0.9156  0.1592 [1 per cell]  2 Co 2.10-2.15, 1 Sn 2.10, 1 Tm 2.18
O  0.7951  0.4227  0.6740 [1 per cell]  1 Co 2.00, 1 Sn 2.04
O  0.9269  0.3232  0.1820 [1 per cell]  1 Co 1.94, 1 Sn 2.17

Values from the calculation:
The total energy is -66.484 eV per cell. Its total moment is 0.5000 μB per atom.